Below is a geometry-optimized KCaP2Br structure, with properties calculated at the PBE level.

Output
DOS(E_F) ... 0.82 states/eV/atom
Total energy ... -10.97 eV/cell
Energy relative to the elements, uncorrected ... 0.924 eV/atom

a = 5.158 Å, b = 6.857 Å, c = 5.158 Å
α = 90.00°, β = 90.00°, γ = 90.00°
Fractional positions:
1 P 0.000 0.000 0.500
2 P 0.500 0.000 0.000
3 Ca 0.000 0.500 0.000
4 K 0.000 0.000 0.000
5 Br 0.500 0.500 0.500